1 | Computed, not measured: a relaxed structure of Nb3IBr at the GGA-PBE level of DFT.

Cell and atoms, written as POSCAR:
```
Nb3IBr
1.0
4.850 0.000 0.000
0.000 4.850 0.000
0.000 0.000 4.850
Nb I Br
3 1 1
Direct
0.000 0.000 0.500 Nb
0.000 0.500 0.000 Nb
0.500 0.000 0.000 Nb
0.500 0.500 0.500 I
0.000 0.000 0.000 Br
```

Output
Crystal system: cubic
Fermi-level density of states in states/eV per cell: 4.6
Space-group type: No. 221
V in Å³/atom: 22.812

=====

2 | Computed, not measured: a relaxed structure of Nb3IBr at the GGA-PBE level of DFT.

Cell and atoms, written as POSCAR:
```
Nb3IBr
1.0
5.092 0.000 0.000
0.000 5.092 0.000
0.000 0.000 5.092
Nb I Br
3 1 1
Direct
0.000 0.000 0.500 Nb
0.000 0.500 0.000 Nb
0.500 0.000 0.000 Nb
0.000 0.000 0.000 I
0.500 0.500 0.500 Br
```

Output
Crystal system: cubic
Fermi-level density of states in states/eV per cell: 7.8
Space-group type: No. 221
V in Å³/atom: 26.399

=====

The structure with the greatest stability is 1.

=====

1 | Computed, not measured: a relaxed structure of Rb2NbIBr6 at the GGA-PBE level of DFT.

Cell and atoms, written as POSCAR:
```
Rb2NbIBr6
1.0
-4.318 4.318 6.114
4.318 -4.318 6.114
4.318 4.318 -6.114
Rb Nb I Br
2 1 1 6
Direct
0.250 0.750 0.500 Rb
0.750 0.250 0.500 Rb
0.000 0.000 0.000 Nb
0.500 0.500 0.000 I
0.210 0.210 0.000 Br
0.210 0.210 0.420 Br
0.210 0.790 0.000 Br
0.790 0.210 0.000 Br
0.790 0.790 0.000 Br
0.790 0.790 0.580 Br
```

Output
Crystal system: tetragonal
Fermi-level density of states in states/eV per cell: 0.0
Space-group type: No. 139
V in Å³/atom: 45.598

=====

2 | Computed, not measured: a relaxed structure of Rb2NbIBr6 at the GGA-PBE level of DFT.

Cell and atoms, written as POSCAR:
```
Rb2NbIBr6
1.0
7.138 0.000 0.000
1.277 7.182 0.000
1.548 2.075 8.477
Rb Nb I Br
2 1 1 6
Direct
0.000 0.000 0.000 Rb
0.449 0.699 0.413 Rb
0.474 0.450 0.927 Nb
0.916 0.860 0.422 I
0.208 0.420 0.778 Br
0.220 0.519 0.154 Br
0.461 0.799 0.785 Br
0.481 0.088 0.073 Br
0.724 0.350 0.712 Br
0.734 0.476 0.080 Br
```

Output
Crystal system: triclinic
Space-group type: No. 1
V in Å³/atom: 43.459

=====

The structure with the greatest stability is 2.